LaTbSc2Cd4: relaxed, PBE.

The space group is R-3m (No. 166, hexagonal axes) and the conventional cell measures 5.2332, 5.2332 and 25.7643 Å, with angles of 90.00, 90.00 and 120.00 degrees. The inequivalent atoms are La at (0.0000, 0.0000, 0.0000), Tb at (0.0000, 0.0000, 0.5000), Sc at (0.0000, 0.0000, 0.2489), Cd at (0.0000, 0.0000, 0.1275) and Cd at (0.0000, 0.0000, 0.3784).

The value obtained for the raw total energy is -84.3 eV for the cell shown. As for the energy of formation from the pure elements: -0.279 eV per atom. For the magnetic moment, the calculation gives 0.752 μB/f.u. Its density of states at the Fermi level is 1.08 states/eV per atom.

LaScCd2Te: relaxed, PBE.

The space group is P4/mmm (No. 123) and the conventional cell measures 5.451, 5.451 and 5.933 Å, with angles of 90.00, 90.00 and 90.00 degrees. The inequivalent atoms are La at (0.000, 0.000, 0.000), Sc at (0.000, 0.000, 0.500), Cd at (0.000, 0.500, 0.500) and Te at (0.500, 0.500, 0.000).

The value obtained for the raw total energy is -14.5 eV for the cell shown. The calculation puts the uncorrected formation energy at 337 meV per atom. For the magnetic moment, the calculation gives 2.665 μB/f.u. Its density of states at the Fermi level is 1.09 states/eV per atom.

LaThScCd: relaxed, PBE.

The space group is F-43m (No. 216) and the conventional cell measures 7.765, 7.765 and 7.765 Å, with angles of 90.00, 90.00 and 90.00 degrees. The inequivalent atoms are La at (0.000, 0.000, 0.000), Th at (0.000, 0.000, 0.500), Sc at (0.250, 0.250, 0.750) and Cd at (0.250, 0.250, 0.250).

The value obtained for the raw total energy is -78.0 eV for the cell shown. As for the energy of formation from the pure elements: 0.026 eV per atom. For the magnetic moment, the calculation gives 0.004 μB/f.u. Its density of states at the Fermi level is 1.67 states/eV per atom.